Li4Mn7O16 | GGA+U | optimized geometry

Values from the calculation:
Energy ... -180.15 eV for the cell shown
Space group ... C2/m, No. 12

abc: 7.625 7.625 5.190
angles: 77.39 77.39 97.89
Fractional coordinates of all 27 atoms:
O  0.742  0.496  0.802
O  0.627  0.116  0.794
O  0.853  0.853  0.774
O  0.006  0.738  0.219
O  0.262  0.994  0.781
O  0.633  0.633  0.212
O  0.994  0.262  0.781
O  0.258  0.504  0.198
O  0.496  0.742  0.802
O  0.147  0.147  0.226
O  0.884  0.373  0.206
O  0.504  0.258  0.198
O  0.116  0.627  0.794
O  0.738  0.006  0.219
O  0.373  0.884  0.206
O  0.367  0.367  0.788
Li  0.749  0.749  0.491
Li  0.873  0.127  0.500
Li  0.127  0.873  0.500
Li  0.251  0.251  0.509
Mn  0.877  0.630  0.006
Mn  0.370  0.123  0.994
Mn  0.123  0.370  0.994
Mn  0.244  0.756  0.000
Mn  0.500  0.500  0.000
Mn  0.630  0.877  0.006
Mn  0.756  0.244  0.000